(A)
First-principles (GGA-PBE) data for a relaxed structure of TbErSe, as listed in the Alexandria database. Values from VASP.

Geometry as Quantum ESPRESSO input:
```
&SYSTEM
  ibrav = 0, nat = 3, ntyp = 3
/
ATOMIC_SPECIES
Tb 158.93 Tb.upf
Er 167.26 Er.upf
Se 78.96 Se.upf
CELL_PARAMETERS angstrom
3.833 0.000 0.000
-1.916 3.319 0.000
0.000 0.000 6.532
ATOMIC_POSITIONS crystal
Tb 0.000 0.000 0.000
Er 0.333 0.667 0.561
Se 0.667 0.333 0.285
```

Computed properties:
space group	No. 156
N(E_F)	1.88	states/eV per cell

(B)
First-principles (GGA-PBE) data for a relaxed structure of TbErSe, as listed in the Alexandria database. Values from VASP.

Geometry as Quantum ESPRESSO input:
```
&SYSTEM
  ibrav = 0, nat = 3, ntyp = 3
/
ATOMIC_SPECIES
Tb 158.93 Tb.upf
Er 167.26 Er.upf
Se 78.96 Se.upf
CELL_PARAMETERS angstrom
3.688 0.000 0.000
0.000 4.592 0.000
0.000 0.000 4.791
ATOMIC_POSITIONS crystal
Tb 0.000 0.000 0.000
Er 0.000 0.500 0.500
Se 0.500 0.000 0.500
```

Computed properties:
space group	No. 47
N(E_F)	3.50	states/eV per cell

(C)
First-principles (GGA-PBE) data for a relaxed structure of TbErSe, as listed in the Alexandria database. Values from VASP.

Geometry as Quantum ESPRESSO input:
```
&SYSTEM
  ibrav = 0, nat = 3, ntyp = 3
/
ATOMIC_SPECIES
Tb 158.93 Tb.upf
Er 167.26 Er.upf
Se 78.96 Se.upf
CELL_PARAMETERS angstrom
-1.791 1.791 6.118
1.791 -1.791 6.118
1.791 1.791 -6.118
ATOMIC_POSITIONS crystal
Tb 0.000 0.000 0.000
Er 0.709 0.709 0.000
Se 0.352 0.352 0.000
```

Computed properties:
space group	No. 107
N(E_F)	3.19	states/eV per cell

The data favor (A); the next most stable structure lies 0.148 eV/atom above it.

(A)
First-principles (GGA-PBE) data for a relaxed structure of Tb2Er2Se5, as listed in the Alexandria database. Values from VASP.

Geometry as Quantum ESPRESSO input:
```
&SYSTEM
  ibrav = 0, nat = 18, ntyp = 3
/
ATOMIC_SPECIES
Tb 158.93 Tb.upf
Er 167.26 Er.upf
Se 78.96 Se.upf
CELL_PARAMETERS angstrom
7.313 -3.813 0.000
7.313 3.813 0.000
0.000 0.000 7.629
ATOMIC_POSITIONS crystal
Tb 0.197 0.197 0.000
Tb 0.303 0.303 0.500
Tb 0.697 0.697 0.500
Tb 0.803 0.803 0.000
Er 0.150 0.850 0.656
Er 0.350 0.650 0.156
Er 0.650 0.350 0.844
Er 0.850 0.150 0.344
Se 0.000 0.000 0.000
Se 0.021 0.702 0.345
Se 0.202 0.521 0.845
Se 0.298 0.979 0.345
Se 0.479 0.798 0.845
Se 0.500 0.500 0.500
Se 0.521 0.202 0.155
Se 0.702 0.021 0.655
Se 0.798 0.479 0.155
Se 0.979 0.298 0.655
```

Computed properties:
space group	No. 64
N(E_F)	11.90	states/eV per cell

(B)
First-principles (GGA-PBE) data for a relaxed structure of Tb2Er2Se5, as listed in the Alexandria database. Values from VASP.

Geometry as Quantum ESPRESSO input:
```
&SYSTEM
  ibrav = 0, nat = 9, ntyp = 3
/
ATOMIC_SPECIES
Tb 158.93 Tb.upf
Er 167.26 Er.upf
Se 78.96 Se.upf
CELL_PARAMETERS angstrom
8.698 -1.967 0.000
8.698 1.967 0.000
-0.319 0.000 7.386
ATOMIC_POSITIONS crystal
Tb 0.028 0.028 0.281
Tb 0.972 0.972 0.719
Er 0.342 0.342 0.089
Er 0.658 0.658 0.911
Se 0.187 0.187 0.172
Se 0.409 0.409 0.433
Se 0.500 0.500 0.000
Se 0.591 0.591 0.567
Se 0.813 0.813 0.828
```

Computed properties:
space group	No. 12
N(E_F)	2.63	states/eV per cell

The data favor (A); the next most stable structure lies 0.044 eV/atom above it.

(A)
First-principles (GGA-PBE) data for a relaxed structure of Er3TeSe, as listed in the Alexandria database. Values from VASP.

Geometry as Quantum ESPRESSO input:
```
&SYSTEM
  ibrav = 0, nat = 10, ntyp = 3
/
ATOMIC_SPECIES
Er 167.26 Er.upf
Te 127.60 Te.upf
Se 78.96 Se.upf
CELL_PARAMETERS angstrom
6.939 0.000 0.000
0.000 3.977 0.000
-1.847 0.000 10.695
ATOMIC_POSITIONS crystal
Er 0.174 0.250 0.438
Er 0.283 0.750 0.740
Er 0.293 0.750 0.061
Er 0.707 0.250 0.939
Er 0.717 0.250 0.260
Er 0.826 0.750 0.562
Te 0.450 0.750 0.348
Te 0.550 0.250 0.652
Se 0.041 0.250 0.150
Se 0.959 0.750 0.850
```

Computed properties:
space group	No. 11
N(E_F)	9.07	states/eV per cell

(B)
First-principles (GGA-PBE) data for a relaxed structure of Er3TeSe, as listed in the Alexandria database. Values from VASP.

Geometry as Quantum ESPRESSO input:
```
&SYSTEM
  ibrav = 0, nat = 10, ntyp = 3
/
ATOMIC_SPECIES
Er 167.26 Er.upf
Te 127.60 Te.upf
Se 78.96 Se.upf
CELL_PARAMETERS angstrom
5.904 0.000 0.000
0.000 5.364 0.000
0.000 0.000 8.361
ATOMIC_POSITIONS crystal
Er 0.000 0.000 0.000
Er 0.250 0.000 0.361
Er 0.250 0.500 0.738
Er 0.500 0.000 0.000
Er 0.750 0.000 0.639
Er 0.750 0.500 0.262
Te 0.250 0.500 0.134
Te 0.750 0.500 0.866
Se 0.250 0.000 0.691
Se 0.750 0.000 0.309
```

Computed properties:
space group	No. 51
N(E_F)	6.57	states/eV per cell

The data favor (A); the next most stable structure lies 0.025 eV/atom above it.

(A)
First-principles (GGA-PBE) data for a relaxed structure of Er3Te2Se2, as listed in the Alexandria database. Values from VASP.

Geometry as Quantum ESPRESSO input:
```
&SYSTEM
  ibrav = 0, nat = 7, ntyp = 3
/
ATOMIC_SPECIES
Er 167.26 Er.upf
Te 127.60 Te.upf
Se 78.96 Se.upf
CELL_PARAMETERS angstrom
8.188 -2.041 0.000
8.188 2.041 0.000
-0.317 0.000 6.209
ATOMIC_POSITIONS crystal
Er 0.000 0.000 0.000
Er 0.186 0.186 0.742
Er 0.814 0.814 0.258
Te 0.174 0.174 0.244
Te 0.826 0.826 0.756
Se 0.431 0.431 0.252
Se 0.569 0.569 0.748
```

Computed properties:
space group	No. 12
N(E_F)	2.87	states/eV per cell

(B)
First-principles (GGA-PBE) data for a relaxed structure of Er3Te2Se2, as listed in the Alexandria database. Values from VASP.

Geometry as Quantum ESPRESSO input:
```
&SYSTEM
  ibrav = 0, nat = 7, ntyp = 3
/
ATOMIC_SPECIES
Er 167.26 Er.upf
Te 127.60 Te.upf
Se 78.96 Se.upf
CELL_PARAMETERS angstrom
6.805 -2.056 0.000
6.805 2.056 0.000
-1.126 0.000 7.240
ATOMIC_POSITIONS crystal
Er 0.000 0.000 0.000
Er 0.247 0.247 0.756
Er 0.753 0.753 0.244
Te 0.118 0.118 0.381
Te 0.882 0.882 0.619
Se 0.373 0.373 0.112
Se 0.627 0.627 0.888
```

Computed properties:
space group	No. 12
N(E_F)	2.13	states/eV per cell

The data favor (B); the next most stable structure lies 0.077 eV/atom above it.